A relaxed LiCd6In12 crystal. Source: Alexandria, functional PBE.

Magnetic moment (μB per formula unit): 0.00
Formation energy (eV per atom): 0.02
E above lowest polymorph (eV/atom): 0.0164

a b c (Å): 10.9020 10.9020 14.2793
angles (deg): 90.00 90.00 120.00
Space group R-3 (No. 148, hexagonal axes)
Unique sites:
Li  0.0000  0.0000  0.0000 (multiplicity 3)
Cd  0.0368  0.5947  0.7045 (multiplicity 18)
In  0.0290  0.8439  0.8166 (multiplicity 18)
In  0.0636  0.2048  0.4075 (multiplicity 18)

=====

A relaxed NaDy3Ru crystal. Source: Alexandria, functional PBE.

Magnetic moment (μB per formula unit): 0.00
Formation energy (eV per atom): -0.05

a b c (Å): 5.428 5.428 5.428
angles (deg): 90.00 90.00 90.00
Space group Pm-3m (No. 221)
Unique sites:
Na  0.000  0.000  0.000 (multiplicity 1)
Dy  0.000  0.500  0.500 (multiplicity 3)
Ru  0.500  0.500  0.500 (multiplicity 1)

=====

A relaxed Tb2NdSc crystal. Source: Alexandria, functional PBE.

Magnetic moment (μB per formula unit): 0.00
Formation energy (eV per atom): 0.05
E above lowest polymorph (eV/atom): 0.0077

a b c (Å): 3.5432 3.5432 34.0817
angles (deg): 90.00 90.00 120.00
Space group R3m (No. 160, hexagonal axes)
Unique sites:
Tb  0.0000  0.0000  0.0000 (multiplicity 3)
Tb  0.0000  0.0000  0.1755 (multiplicity 3)
Nd  0.0000  0.0000  0.7543 (multiplicity 3)
Sc  0.0000  0.0000  0.5880 (multiplicity 3)

=====

A relaxed RbCu2TeBr8 crystal. Source: Alexandria, functional PBE.

Magnetic moment (μB per formula unit): 1.16
Energy relative to the elements, uncorrected (meV per atom): -521

a b c (Å): 6.8147 6.8147 30.6037
angles (deg): 90.00 90.00 120.00
Space group R-3 (No. 148, hexagonal axes)
Unique sites:
Rb  0.0000  0.0000  0.0000 (multiplicity 3)
Cu  0.0000  0.0000  0.2455 (multiplicity 6)
Te  0.0000  0.0000  0.5000 (multiplicity 3)
Br  0.0000  0.0000  0.3217 (multiplicity 6)
Br  0.0024  0.3429  0.2203 (multiplicity 18)

=====

A relaxed SrGa2HgPt crystal. Source: Alexandria, functional PBE.

Magnetic moment (μB per formula unit): 0.00
Formation energy (eV per atom): -0.47

a b c (Å): 4.853 4.853 5.965
angles (deg): 90.00 90.00 90.00
Space group P4/mmm (No. 123)
Unique sites:
Sr  0.000  0.000  0.000 (multiplicity 1)
Ga  0.000  0.500  0.500 (multiplicity 2)
Hg  0.500  0.500  0.000 (multiplicity 1)
Pt  0.000  0.000  0.500 (multiplicity 1)

=====

A relaxed HoMgNi2P2 crystal. Source: Alexandria, functional PBE.

Magnetic moment (μB per formula unit): 0.00
Formation energy (eV per atom): -0.90

a b c (Å): 3.8441 3.8441 7.3465
angles (deg): 90.00 90.00 120.00
Space group P-3m1 (No. 164)
Unique sites:
Ho  0.0000  0.0000  0.0000 (multiplicity 1)
Mg  0.0000  0.0000  0.5000 (multiplicity 1)
Ni  0.3333  0.6667  0.7248 (multiplicity 2)
P  0.3333  0.6667  0.2536 (multiplicity 2)

=====

A relaxed BaNb2Bi2O9 crystal. Source: Alexandria, functional PBE.

Magnetic moment (μB per formula unit): 0.00
Energy relative to the elements, uncorrected (meV per atom): -2206

a b c (Å): 25.595 5.720 5.761
angles (deg): 90.00 90.00 90.00
Space group Cmc2_1 (No. 36)
Unique sites:
Ba  0.000  0.248  0.000 (multiplicity 4)
Nb  0.085  0.252  0.513 (multiplicity 8)
Bi  0.202  0.282  0.113 (multiplicity 8)
O  0.000  0.231  0.483 (multiplicity 4)
O  0.074  0.495  0.737 (multiplicity 8)
O  0.084  0.004  0.231 (multiplicity 8)
O  0.158  0.305  0.473 (multiplicity 8)
O  0.249  0.020  0.311 (multiplicity 8)

=====

A relaxed BaAlTl2Sb2 crystal. Source: Alexandria, functional PBE.

Magnetic moment (μB per formula unit): 0.00
Energy relative to the elements, uncorrected (meV per atom): -314

a b c (Å): 4.749 9.967 8.366
angles (deg): 90.00 90.00 90.00
Space group Pmc2_1 (No. 26)
Unique sites:
Ba  0.000  0.098  0.000 (multiplicity 2)
Al  0.500  0.162  0.641 (multiplicity 2)
Tl  0.000  0.343  0.307 (multiplicity 2)
Tl  0.500  0.460  0.018 (multiplicity 2)
Sb  0.000  0.315  0.682 (multiplicity 2)
Sb  0.500  0.093  0.307 (multiplicity 2)

=====

A relaxed PrThSbSe crystal. Source: Alexandria, functional PBE.

Magnetic moment (μB per formula unit): 0.00
Energy relative to the elements, uncorrected (meV per atom): -1319

a b c (Å): 4.375 4.375 6.241
angles (deg): 90.00 90.00 90.00
Space group P4/mmm (No. 123)
Unique sites:
Pr  0.000  0.000  0.000 (multiplicity 1)
Th  0.500  0.500  0.500 (multiplicity 1)
Sb  0.500  0.500  0.000 (multiplicity 1)
Se  0.000  0.000  0.500 (multiplicity 1)

=====

A relaxed CaLa2Pr2Y2 crystal. Source: Alexandria, functional PBE.

Magnetic moment (μB per formula unit): 0.00
Formation energy (eV per atom): 0.05

a b c (Å): 11.709 5.259 8.266
angles (deg): 90.00 98.25 90.00
Space group C2/m (No. 12)
Unique sites:
Ca  0.000  0.000  0.000 (multiplicity 2)
La  0.145  0.000  0.432 (multiplicity 4)
Pr  0.216  0.500  0.146 (multiplicity 4)
Y  0.075  0.500  0.707 (multiplicity 4)

=====

A relaxed Ac5ErTe6 crystal. Source: Alexandria, functional PBE.

Magnetic moment (μB per formula unit): 0.00
Energy relative to the elements, uncorrected (meV per atom): -1433

a b c (Å): 8.046 13.999 8.109
angles (deg): 90.00 109.53 90.00
Space group C2/m (No. 12)
Unique sites:
Ac  0.000  0.000  0.000 (multiplicity 2)
Ac  0.000  0.165  0.500 (multiplicity 4)
Ac  0.000  0.323  0.000 (multiplicity 4)
Er  0.000  0.500  0.500 (multiplicity 2)
Te  0.230  0.500  0.252 (multiplicity 4)
Te  0.234  0.342  0.735 (multiplicity 8)

=====

A relaxed KBe2Br2 crystal. Source: Alexandria, functional PBE.

Magnetic moment (μB per formula unit): 1.00
Energy relative to the elements, uncorrected (meV per atom): -137
E above lowest polymorph (eV/atom): 0.0000

a b c (Å): 9.057 9.057 3.643
angles (deg): 90.00 90.00 90.00
Space group P4/mbm (No. 127)
Unique sites:
K  0.000  0.000  0.000 (multiplicity 2)
Be  0.078  0.422  0.500 (multiplicity 4)
Br  0.188  0.312  0.000 (multiplicity 4)

=====

A relaxed Ga3Te4 crystal. Source: Alexandria, functional PBE.

Magnetic moment (μB per formula unit): 0.00
Energy relative to the elements, uncorrected (meV per atom): -205

a b c (Å): 7.104 4.100 13.689
angles (deg): 90.00 99.87 90.00
Space group C2/m (No. 12)
Unique sites:
Ga  0.000  0.000  0.000 (multiplicity 2)
Ga  0.078  0.500  0.729 (multiplicity 4)
Te  0.123  0.000  0.372 (multiplicity 4)
Te  0.207  0.500  0.122 (multiplicity 4)

=====

A relaxed Cr5Co crystal. Source: Alexandria, functional PBE.

Magnetic moment (μB per formula unit): 0.00
Formation energy (eV per atom): 0.25
E above lowest polymorph (eV/atom): 0.2005

a b c (Å): 4.177 2.370 13.992
angles (deg): 90.00 90.00 90.00
Space group Amm2 (No. 38)
Unique sites:
Cr  0.000  0.000  0.000 (multiplicity 2)
Cr  0.000  0.000  0.324 (multiplicity 2)
Cr  0.500  0.000  0.095 (multiplicity 2)
Cr  0.500  0.000  0.425 (multiplicity 2)
Cr  0.500  0.000  0.756 (multiplicity 2)
Co  0.000  0.000  0.658 (multiplicity 2)

=====

A relaxed V3AsH crystal. Source: Alexandria, functional PBE.

Magnetic moment (μB per formula unit): 0.00
E above lowest polymorph (eV/atom): 0.0060

a b c (Å): 3.820 3.820 3.820
angles (deg): 90.00 90.00 90.00
Space group Pm-3m (No. 221)
Unique sites:
V  0.000  0.000  0.500 (multiplicity 3)
As  0.500  0.500  0.500 (multiplicity 1)
H  0.000  0.000  0.000 (multiplicity 1)

=====

A relaxed La2TaIn crystal. Source: Alexandria, functional PBE.

Magnetic moment (μB per formula unit): 0.00
Formation energy (eV per atom): 0.30

a b c (Å): 3.3847 3.3847 32.6863
angles (deg): 90.00 90.00 120.00
Space group R3m (No. 160, hexagonal axes)
Unique sites:
La  0.0000  0.0000  0.0000 (multiplicity 3)
La  0.0000  0.0000  0.2339 (multiplicity 3)
Ta  0.0000  0.0000  0.7439 (multiplicity 3)
In  0.0000  0.0000  0.4814 (multiplicity 3)

=====

A relaxed Pr2SmDyTm5 crystal. Source: Alexandria, functional PBE.

Magnetic moment (μB per formula unit): 0.00
Formation energy (eV per atom): 0.26

a b c (Å): 8.588 8.588 15.630
angles (deg): 90.00 90.00 90.00
Space group I4/mcm (No. 140)
Unique sites:
Pr  0.119  0.381  0.000 (multiplicity 8)
Sm  0.000  0.500  0.250 (multiplicity 4)
Dy  0.000  0.000  0.250 (multiplicity 4)
Tm  0.000  0.000  0.000 (multiplicity 4)
Tm  0.212  0.288  0.359 (multiplicity 16)

=====

A relaxed CsVCr2I8 crystal. Source: Alexandria, functional PBE.

Magnetic moment (μB per formula unit): 10.00
Energy relative to the elements, uncorrected (meV per atom): -471

a b c (Å): 7.3373 7.3373 31.6438
angles (deg): 90.00 90.00 120.00
Space group R-3 (No. 148, hexagonal axes)
Unique sites:
Cs  0.0000  0.0000  0.0000 (multiplicity 3)
V  0.0000  0.0000  0.5000 (multiplicity 3)
Cr  0.0000  0.0000  0.2362 (multiplicity 6)
I  0.0000  0.0000  0.3188 (multiplicity 6)
I  0.0146  0.6491  0.2186 (multiplicity 18)

=====

A relaxed ZrNiAs2 crystal. Source: Alexandria, functional PBE.

Magnetic moment (μB per formula unit): 0.00
Formation energy (eV per atom): -0.39

a b c (Å): 3.945 5.161 6.736
angles (deg): 90.00 90.00 90.00
Space group Immm (No. 71)
Unique sites:
Zr  0.000  0.000  0.000 (multiplicity 2)
Ni  0.000  0.000  0.500 (multiplicity 2)
As  0.000  0.500  0.204 (multiplicity 4)

=====

A relaxed Pr2MgRu crystal. Source: Alexandria, functional PBE.

Magnetic moment (μB per formula unit): 0.00
Formation energy (eV per atom): 0.02

a b c (Å): 4.0703 4.0703 25.8383
angles (deg): 90.00 90.00 120.00
Space group R3m (No. 160, hexagonal axes)
Unique sites:
Pr  0.0000  0.0000  0.0000 (multiplicity 3)
Pr  0.0000  0.0000  0.2110 (multiplicity 3)
Mg  0.0000  0.0000  0.7715 (multiplicity 3)
Ru  0.0000  0.0000  0.6060 (multiplicity 3)